[1]
A relaxed structure of LaBeAu3, computed with PBE-GGA.

Calculated values
As for the formation energy: -13.4 kcal/mol of atoms. The distance to the lowest polymorph of the same formula comes out at 0 meV/atom. For the total magnetization, the calculation gives 0.0000 μB per atom. The final energy comes out at -21.39 eV per cell.

Structure (extended XYZ):
```
5
Lattice="0.087 -4.140 1.439 2.759 -1.065 -3.235 5.475 -1.432 2.188" Properties=species:S:1:pos:R:3 pbc="T T T"
La 5.574 -3.166 1.913
Au 3.646 -1.637 -0.240
Be 5.800 -1.949 -1.273
Au 5.068 -4.238 -1.138
Au 2.183 -4.142 -0.666
```

***

[2]
A relaxed structure of LaBe2Au, computed with PBE-GGA.

Calculated values
As for the formation energy: -2.3 kcal/mol of atoms. The distance to the lowest polymorph of the same formula comes out at 205 meV/atom. For the total magnetization, the calculation gives 0.0000 μB per atom. The final energy comes out at -16.05 eV per cell.

Structure (extended XYZ):
```
4
Lattice="4.265 0.000 0.000 0.000 4.388 -0.001 0.000 -0.001 4.387" Properties=species:S:1:pos:R:3 pbc="T T T"
Be 0.000 3.291 2.207
Be 0.000 3.289 4.373
Au 2.132 3.290 3.290
La 2.132 1.097 1.097
```

***

[3]
A relaxed structure of LaBe2Au, computed with PBE-GGA.

Calculated values
As for the formation energy: 9.7 kcal/mol of atoms. The distance to the lowest polymorph of the same formula comes out at 723 meV/atom. For the total magnetization, the calculation gives 0.0000 μB per atom. The final energy comes out at -13.98 eV per cell.

Structure (extended XYZ):
```
4
Lattice="4.635 0.008 0.002 -0.753 4.573 0.002 0.627 0.740 3.525" Properties=species:S:1:pos:R:3 pbc="T T T"
Au -0.063 2.657 1.764
Be 0.000 0.000 0.000
La 2.631 0.374 1.764
Be 1.941 2.291 0.002
```

***

[4]
A relaxed structure of LaBe2Au, computed with PBE-GGA.

Calculated values
As for the formation energy: 0.8 kcal/mol of atoms. The distance to the lowest polymorph of the same formula comes out at 337 meV/atom. For the total magnetization, the calculation gives 0.0001 μB per atom. The final energy comes out at -15.53 eV per cell.

Structure (extended XYZ):
```
4
Lattice="3.083 0.000 0.000 0.000 3.083 0.000 0.000 0.000 7.116" Properties=species:S:1:pos:R:3 pbc="T T T"
Be 1.541 1.541 1.228
Au 1.541 1.541 5.926
La 0.000 0.000 3.417
Be 0.000 0.000 0.103
```

***

[5]
A relaxed structure of La2BeAu, computed with PBE-GGA.

Calculated values
As for the formation energy: -6.3 kcal/mol of atoms. For the total magnetization, the calculation gives 0.0000 μB per atom. The final energy comes out at -17.96 eV per cell.

Structure (extended XYZ):
```
4
Lattice="6.088 -0.043 0.050 3.007 5.316 -0.021 -4.099 -3.400 2.946" Properties=species:S:1:pos:R:3 pbc="T T T"
La -3.784 -3.229 2.940
La 3.026 -0.528 1.516
Be 2.189 2.550 1.470
Au -0.086 -1.081 2.956
```

***

[6]
A relaxed structure of LaBeAu, computed with PBE-GGA.

Calculated values
As for the formation energy: -0.9 kcal/mol of atoms. The distance to the lowest polymorph of the same formula comes out at 393 meV/atom. For the total magnetization, the calculation gives 0.0001 μB per atom. The final energy comes out at -12.05 eV per cell.

Structure (extended XYZ):
```
3
Lattice="-4.104 -2.249 -0.916 0.048 -4.325 -2.008 -1.242 -3.829 2.556" Properties=species:S:1:pos:R:3 pbc="T T T"
Au -3.973 -7.803 -0.276
La -2.649 -5.202 -0.184
Be 0.000 0.000 0.000
```

***

[7]
A relaxed structure of LaBe3Au, computed with PBE-GGA.

Calculated values
As for the formation energy: -0.2 kcal/mol of atoms. The distance to the lowest polymorph of the same formula comes out at 0 meV/atom. For the total magnetization, the calculation gives 0.0000 μB per atom. The final energy comes out at -19.44 eV per cell.

Structure (extended XYZ):
```
5
Lattice="-1.840 -2.976 2.723 -1.166 -2.473 -3.490 3.862 -2.164 0.244" Properties=species:S:1:pos:R:3 pbc="T T T"
Be -0.920 -1.488 1.362
Au 0.000 0.000 0.000
Be -0.583 -1.237 -1.745
Be 1.931 -1.082 0.122
La 0.428 -3.807 -0.261
```

***

[8]
A relaxed structure of LaBe2Au, computed with PBE-GGA.

Calculated values
As for the formation energy: 0.4 kcal/mol of atoms. The distance to the lowest polymorph of the same formula comes out at 321 meV/atom. For the total magnetization, the calculation gives 0.0003 μB per atom. The final energy comes out at -15.59 eV per cell.

Structure (extended XYZ):
```
4
Lattice="3.150 0.000 0.000 0.000 3.151 0.000 0.000 0.000 6.912" Properties=species:S:1:pos:R:3 pbc="T T T"
Be 0.000 0.000 6.369
Be 0.000 0.000 4.000
Au 1.575 1.575 5.184
La 1.575 1.575 1.728
```